Te2RuPb | PBE | optimized geometry

Lattice parameters (Å, degrees): 3.3164 3.3164 8.9887 90.00 90.00 90.01
Atoms (fractional coordinates):
1 Pb 0.5000 0.5000 0.2500
2 Ru 0.5000 0.5000 0.7500
3 Te 0.0000 0.0000 0.9305
4 Te 0.0000 0.0000 0.5695

Summary:
Formation energy without anion corrections (eV/atom): 0.125
SG: P4/mmm, No. 123